# Li2GaCu (PBE, optimized geometry)
data_Li2GaCu
_symmetry_space_group_name_H-M 'P 4/m m m'
_symmetry_Int_Tables_number 123
_symmetry_space_group_name_Hall '-P 4 2'
_cell_length_a 3.694
_cell_length_b 3.694
_cell_length_c 4.130
_cell_angle_alpha 90.00
_cell_angle_beta 90.00
_cell_angle_gamma 90.00
loop_
_atom_site_label
_atom_site_type_symbol
_atom_site_fract_x
_atom_site_fract_y
_atom_site_fract_z
Li1 Li 0.000 0.500 0.000
Ga1 Ga 0.000 0.000 0.500
Cu1 Cu 0.500 0.500 0.500
# E: -2.915 eV per atom
# DFT formation energy: -0.18 eV/atom
# Spin magnetization: 0.000 μB/cell
# Density of states at the Fermi level: 0.60 states/eV per cell